[1]
TiTlReRh2, relaxed, DFT GGA-PBE; Fermi-level density of states = 6.05 states/eV/cell
1.0
4.544 0.000 0.000
0.000 4.544 0.000
0.000 0.000 4.746
Ti Tl Re Rh
1 1 1 2
direct
0.000 0.000 0.000
0.500 0.500 0.500
0.000 0.000 0.500
0.000 0.500 0.000
0.500 0.000 0.000

***

[2]
ZrTiReRh, relaxed, DFT GGA-PBE; Fermi-level density of states = 1.03 states/eV/cell
1.0
0.000 3.210 3.210
3.210 0.000 3.210
3.210 3.210 0.000
Zr Ti Re Rh
1 1 1 1
direct
0.000 0.000 0.000
0.500 0.500 0.500
0.750 0.750 0.750
0.250 0.250 0.250

***

[3]
TlReRh, relaxed, DFT GGA-PBE; distance to the lowest polymorph of the same formula = 383 meV/atom; Fermi-level density of states = 2.12 states/eV/cell
1.0
0.000 3.082 3.082
3.082 0.000 3.082
3.082 3.082 0.000
Tl Re Rh
1 1 1
direct
0.000 0.000 0.000
0.500 0.500 0.500
0.750 0.750 0.750

***

[4]
TlReRh, relaxed, DFT GGA-PBE; distance to the lowest polymorph of the same formula = 85 meV/atom; Fermi-level density of states = 3.12 states/eV/cell
1.0
2.931 0.000 0.000
-1.465 2.538 0.000
0.000 0.000 7.001
Tl Re Rh
1 1 1
direct
0.000 0.000 0.000
0.667 0.333 0.366
0.333 0.667 0.650

***

[5]
TlReRh, relaxed, DFT GGA-PBE; distance to the lowest polymorph of the same formula = 0 meV/atom; Fermi-level density of states = 3.76 states/eV/cell
1.0
-1.456 1.456 6.117
1.456 -1.456 6.117
1.456 1.456 -6.117
Tl Re Rh
1 1 1
direct
0.000 0.000 0.000
0.685 0.685 0.000
0.317 0.317 0.000

***

[6]
Tl4ReRh, relaxed, DFT GGA-PBE; Fermi-level density of states = 5.02 states/eV/cell
1.0
0.000 4.251 4.251
4.251 0.000 4.251
4.251 4.251 0.000
Tl Re Rh
4 1 1
direct
0.125 0.125 0.125
0.125 0.125 0.625
0.125 0.625 0.125
0.625 0.125 0.125
0.750 0.750 0.750
0.500 0.500 0.500

***

[7]
TlRe3Rh, relaxed, DFT GGA-PBE; distance to the lowest polymorph of the same formula = 0 meV/atom; Fermi-level density of states = 6.33 states/eV/cell
1.0
4.737 0.000 0.000
0.000 4.737 0.000
0.000 0.000 4.737
Tl Re Rh
1 3 1
direct
0.000 0.000 0.000
0.000 0.500 0.500
0.500 0.000 0.500
0.500 0.500 0.000
0.500 0.500 0.500

***

[8]
TlReRh4, relaxed, DFT GGA-PBE; Fermi-level density of states = 9.48 states/eV/cell
1.0
0.000 3.643 3.643
3.643 0.000 3.643
3.643 3.643 0.000
Tl Re Rh
1 1 4
direct
0.000 0.000 0.000
0.750 0.750 0.750
0.375 0.375 0.375
0.375 0.375 0.874
0.375 0.874 0.375
0.874 0.375 0.375

***

Quick rundown of ΔE_f, same order as above: 5.070; -2.219; 2.396; 1.503; 1.247; 8.520; 11.196; 3.243 eV/f.u.